No. 1
Below is an optimized crystal structure of AlTlRh, with properties calculated at the PBE-GGA level.

Summary:
formation energy	-0.11	eV per atom
energy above the lowest structure with this stoichiometry	127	meV/atom
DOS(E_F)	1.8	states/eV per cell

a b c (Å): 3.1619 3.1619 6.5461
angles (deg): 90.00 90.00 120.00
Space group P3m1 (No. 156)
Symmetry-distinct sites (fractional):
Al: 0.0000 0.0000 0.0000 [1 per cell]
Tl: 0.6667 0.3333 0.6042 [1 per cell]
Rh: 0.3333 0.6667 0.2536 [1 per cell]

---

No. 2
Below is an optimized crystal structure of TiZnNiOs, with properties calculated at the PBE-GGA level.

Summary:
formation energy	-0.28	eV per atom
DOS(E_F)	4.2	states/eV per cell

a b c (Å): 6.030 6.030 6.030
angles (deg): 90.00 90.00 90.00
Space group F-43m (No. 216)
Symmetry-distinct sites (fractional):
Ti: 0.000 0.000 0.000 [4 per cell]
Zn: 0.000 0.000 0.500 [4 per cell]
Ni: 0.250 0.250 0.750 [4 per cell]
Os: 0.250 0.250 0.250 [4 per cell]

---

No. 3
Below is an optimized crystal structure of BeTc2P, with properties calculated at the PBE-GGA level.

Summary:
formation energy	-0.25	eV per atom
energy above the lowest structure with this stoichiometry	179	meV/atom
DOS(E_F)	6.0	states/eV per cell

a b c (Å): 8.329 2.942 4.169
angles (deg): 90.00 105.93 90.00
Space group Cm (No. 8)
Symmetry-distinct sites (fractional):
Be: 0.000 0.000 0.000 [2 per cell]
Tc: 0.253 0.000 0.835 [2 per cell]
Tc: 0.483 0.000 0.476 [2 per cell]
P: 0.231 0.500 0.277 [2 per cell]

---

No. 4
Below is an optimized crystal structure of Ba3Sn2Bi3, with properties calculated at the PBE-GGA level.

Summary:
formation energy	-0.59	eV per atom
energy above the lowest structure with this stoichiometry	65	meV/atom
DOS(E_F)	16.1	states/eV per cell

a b c (Å): 5.461 13.050 16.932
angles (deg): 90.00 90.00 90.00
Space group Cmcm (No. 63)
Symmetry-distinct sites (fractional):
Ba: 0.000 0.033 0.250 [4 per cell]
Ba: 0.000 0.148 0.535 [8 per cell]
Sn: 0.000 0.325 0.164 [8 per cell]
Bi: 0.000 0.256 0.750 [4 per cell]
Bi: 0.000 0.444 0.586 [8 per cell]

---

No. 5
Below is an optimized crystal structure of AlTe2Cl, with properties calculated at the PBE-GGA level.

Summary:
energy above the lowest structure with this stoichiometry	173	meV/atom
DOS(E_F)	1.5	states/eV per cell

a b c (Å): 5.976 3.566 6.469
angles (deg): 90.00 104.09 90.00
Space group Pm (No. 6)
Symmetry-distinct sites (fractional):
Al: 0.000 0.000 0.000 [1 per cell]
Te: 0.396 0.000 0.299 [1 per cell]
Te: 0.668 0.500 0.063 [1 per cell]
Cl: 0.054 0.500 0.765 [1 per cell]

---

No. 6
Below is an optimized crystal structure of GaP3S, with properties calculated at the PBE-GGA level.

Summary:
energy above the lowest structure with this stoichiometry	0	meV/atom
DOS(E_F)	4.3	states/eV per cell

a b c (Å): 4.559 4.559 4.559
angles (deg): 90.00 90.00 90.00
Space group Pm-3m (No. 221)
Symmetry-distinct sites (fractional):
Ga: 0.000 0.000 0.000 [1 per cell]
P: 0.000 0.500 0.500 [3 per cell]
S: 0.500 0.500 0.500 [1 per cell]

---

No. 7
Below is an optimized crystal structure of Re2SiP, with properties calculated at the PBE-GGA level.

Summary:
energy above the lowest structure with this stoichiometry	336	meV/atom
DOS(E_F)	3.1	states/eV per cell

a b c (Å): 2.852 2.852 7.517
angles (deg): 90.00 90.00 90.00
Space group P4mm (No. 99)
Symmetry-distinct sites (fractional):
Re: 0.000 0.000 0.000 [1 per cell]
Re: 0.500 0.500 0.239 [1 per cell]
Si: 0.000 0.000 0.468 [1 per cell]
P: 0.500 0.500 0.797 [1 per cell]

---

No. 8
Below is an optimized crystal structure of Sr2Ta2S7, with properties calculated at the PBE-GGA level.

Summary:
calculated total energy	-6.12	eV per atom
DOS(E_F)	5.3	states/eV per cell

a b c (Å): 7.938 9.513 6.713
angles (deg): 90.00 90.00 90.00
Space group Cmmm (No. 65)
Symmetry-distinct sites (fractional):
Sr: 0.233 0.000 0.000 [4 per cell]
Ta: 0.000 0.283 0.500 [4 per cell]
S: 0.000 0.000 0.500 [2 per cell]
S: 0.000 0.500 0.291 [4 per cell]
S: 0.250 0.250 0.265 [8 per cell]